Computed, not measured: a geometry-optimized Sr2CuAsH structure at the PBE-GGA level of DFT.

The structure in extended XYZ format:
```
5
Lattice="5.1750 0.0000 0.0000 0.0000 5.1750 0.0000 0.0000 0.0000 4.0081" Properties=species:S:1:pos:R:3 pbc="T T T"
Sr 0.0000 2.5875 0.0000
Sr 2.5875 0.0000 0.0000
Cu 0.0000 0.0000 2.0040
As 2.5875 2.5875 2.0040
H 0.0000 0.0000 0.0000
```

Computed properties:
Calculated total energy ... -3.603 eV/atom
Symmetry ... P4/mmm (123)

Computed, not measured: a geometry-optimized TiCu2AsH structure at the PBE-GGA level of DFT.

The structure in extended XYZ format:
```
5
Lattice="3.7795 0.0000 0.0000 0.0000 3.7795 0.0000 0.0000 0.0000 4.0991" Properties=species:S:1:pos:R:3 pbc="T T T"
Ti 0.0000 0.0000 0.0000
Cu 0.0000 1.8898 2.0496
Cu 1.8898 0.0000 2.0496
As 1.8898 1.8898 0.0000
H 0.0000 0.0000 2.0496
```

Computed properties:
Calculated total energy ... -5.005 eV/atom
Symmetry ... P4/mmm (123)

Computed, not measured: a geometry-optimized TmCuAsH structure at the PBE-GGA level of DFT.

The structure in extended XYZ format:
```
8
Lattice="3.8415 0.0000 0.0000 0.0000 3.8415 0.0000 0.0000 0.0000 7.7484" Properties=species:S:1:pos:R:3 pbc="T T T"
Tm 0.9604 0.9604 1.2558
Tm 2.8811 2.8811 6.4926
Cu 0.9604 2.8811 3.8742
Cu 2.8811 0.9604 3.8742
As 0.9604 0.9604 5.4797
As 2.8811 2.8811 2.2687
H 0.9604 2.8811 0.0000
H 2.8811 0.9604 0.0000
```

Computed properties:
Calculated total energy ... -4.867 eV/atom
Symmetry ... P4/nmm (129)

Computed, not measured: a geometry-optimized VCu2AsH structure at the PBE-GGA level of DFT.

The structure in extended XYZ format:
```
5
Lattice="3.7455 0.0000 0.0000 0.0000 3.7455 0.0000 0.0000 0.0000 4.0418" Properties=species:S:1:pos:R:3 pbc="T T T"
V 0.0000 0.0000 0.0000
Cu 0.0000 1.8727 2.0209
Cu 1.8727 0.0000 2.0209
As 1.8727 1.8727 0.0000
H 0.0000 0.0000 2.0209
```

Computed properties:
Calculated total energy ... -5.007 eV/atom
Symmetry ... P4/mmm (123)

Computed, not measured: a geometry-optimized Cu2AsHW structure at the PBE-GGA level of DFT.

The structure in extended XYZ format:
```
5
Lattice="4.8556 0.0000 0.0000 0.0000 4.8556 0.0000 0.0000 0.0000 3.3110" Properties=species:S:1:pos:R:3 pbc="T T T"
Cu 0.0000 2.4278 0.0000
Cu 2.4278 0.0000 0.0000
As 0.0000 0.0000 1.6555
H 2.4278 2.4278 1.6555
W 2.4278 2.4278 0.0000
```

Computed properties:
Calculated total energy ... -4.706 eV/atom
Symmetry ... P4/mmm (123)

Computed, not measured: a geometry-optimized YCuAsH structure at the PBE-GGA level of DFT.

The structure in extended XYZ format:
```
8
Lattice="3.8880 0.0000 0.0000 0.0000 3.8880 0.0000 0.0000 0.0000 7.8545" Properties=species:S:1:pos:R:3 pbc="T T T"
Y 0.9720 0.9720 1.2987
Y 2.9160 2.9160 6.5558
Cu 0.9720 2.9160 3.9272
Cu 2.9160 0.9720 3.9272
As 0.9720 0.9720 5.5102
As 2.9160 2.9160 2.3442
H 0.9720 2.9160 0.0000
H 2.9160 0.9720 0.0000
```

Computed properties:
Calculated total energy ... -5.397 eV/atom
Symmetry ... P4/nmm (129)

Computed, not measured: a geometry-optimized Hf2CuAs4 structure at the PBE-GGA level of DFT.

The structure in extended XYZ format:
```
7
Lattice="3.7631 0.0000 0.0000 0.0000 3.7631 0.0000 0.0000 0.0000 9.1786" Properties=species:S:1:pos:R:3 pbc="T T T"
Hf 0.0000 1.8816 2.1194
Hf 1.8816 0.0000 7.0592
Cu 0.0000 0.0000 4.5893
As 0.0000 0.0000 0.0000
As 0.0000 1.8816 6.1125
As 1.8816 0.0000 3.0661
As 1.8816 1.8816 0.0000
```

Computed properties:
Formation energy ... -0.60 eV/atom
Symmetry ... P-4m2 (115)

Computed, not measured: a geometry-optimized Hf2Cu2As structure at the PBE-GGA level of DFT.

The structure in extended XYZ format:
```
10
Lattice="6.9740 0.0000 0.0000 0.0000 6.9740 0.0000 0.0000 0.0000 3.8546" Properties=species:S:1:pos:R:3 pbc="T T T"
Hf 1.1436 2.3434 0.0000
Hf 2.3434 5.8304 0.0000
Hf 4.6306 1.1436 0.0000
Hf 5.8304 4.6306 0.0000
Cu 0.8829 4.3699 1.9273
Cu 2.6042 0.8829 1.9273
Cu 4.3699 6.0912 1.9273
Cu 6.0912 2.6042 1.9273
As 0.0000 0.0000 0.0000
As 3.4870 3.4870 0.0000
```

Computed properties:
Formation energy ... -0.13 eV/atom
Symmetry ... P4/mbm (127)
Excess energy over the best structure of this formula in the dataset ... 0.69 eV per formula unit